# 1
## Co4MoAs (PBE)

Data for a relaxed Co4MoAs crystal.

The density of states at the Fermi level comes out at 32.5 states/eV/cell. The formation energy is 0.253 eV/atom. The value obtained for the total energy is -7.064 eV per atom.

The structure belongs to space group F-43m (No. 216); the cell edges are 6.6193, 6.6193 and 6.6193 Å and the angles 90.00°, 90.00° and 90.00°. The distinct sites, in fractional coordinates, are Co at (0.1246, 0.1246, 0.1246), Mo at (0.2500, 0.2500, 0.7500) and As at (0.0000, 0.0000, 0.5000).

# 2
## LiSb2TeH (PBE)

Data for a relaxed LiSb2TeH crystal.

The density of states at the Fermi level comes out at 2.0 states/eV/cell. The value obtained for the total energy is -2.642 eV per atom. Its offset from the most stable computed form is 515 meV/atom.

The structure belongs to space group P4/mmm (No. 123); the cell edges are 4.9939, 4.9939 and 5.0749 Å and the angles 90.00°, 90.00° and 90.00°. The distinct sites, in fractional coordinates, are Li at (0.0000, 0.0000, 0.0000), Sb at (0.0000, 0.5000, 0.0000), Te at (0.0000, 0.0000, 0.5000) and H at (0.5000, 0.5000, 0.5000).

# 3
## PmDy3HoEr (PBE)

Data for a relaxed PmDy3HoEr crystal.

The density of states at the Fermi level comes out at 45.1 states/eV/cell. The formation energy is 0.127 eV/atom. The value obtained for the total energy is -4.489 eV per atom.

The structure belongs to space group Cmcm (No. 63); the cell edges are 5.7254, 11.5933 and 11.5006 Å and the angles 90.00°, 90.00° and 90.00°. The distinct sites, in fractional coordinates, are Pm at (0.0000, 0.0260, 0.2500), Dy at (0.0000, 0.1742, 0.5300), Dy at (0.0000, 0.3624, 0.7500), Ho at (0.0000, 0.5000, 0.0000) and Er at (0.0000, 0.3270, 0.2500).

# 4
## Ta2AsPdCl (PBE)

Data for a relaxed Ta2AsPdCl crystal.

The density of states at the Fermi level comes out at 7.1 states/eV/cell. The value obtained for the total energy is -6.118 eV per atom. Its uncorrected formation energy is 4.803 eV per formula unit.

The structure belongs to space group P4/mmm (No. 123); the cell edges are 4.8599, 4.8599 and 4.6418 Å and the angles 90.00°, 90.00° and 90.00°. The distinct sites, in fractional coordinates, are Ta at (0.0000, 0.5000, 0.0000), As at (0.0000, 0.0000, 0.0000), Pd at (0.0000, 0.0000, 0.5000) and Cl at (0.5000, 0.5000, 0.5000).

# 5
## AcGe3Ir2 (PBE)

Data for a relaxed AcGe3Ir2 crystal.

The density of states at the Fermi level comes out at 9.7 states/eV/cell. The formation energy is -0.431 eV/atom. The value obtained for the total energy is -6.378 eV per atom.

The structure belongs to space group Cmcm (No. 63); the cell edges are 10.3956, 7.9639 and 5.7456 Å and the angles 90.00°, 90.00° and 90.00°. The distinct sites, in fractional coordinates, are Ac at (0.0000, 0.1681, 0.2500), Ge at (0.0000, 0.4490, 0.7500), Ge at (0.1813, 0.2258, 0.7500) and Ir at (0.2266, 0.5000, 0.0000).

# 6
## Sn2TeRu (PBE)

Data for a relaxed Sn2TeRu crystal.

The density of states at the Fermi level comes out at 8.9 states/eV/cell. The value obtained for the total energy is -4.787 eV per atom. Its uncorrected formation energy is 1.276 eV per formula unit.

The structure belongs to space group I-42d (No. 122); the cell edges are 6.3668, 6.3668 and 12.8959 Å and the angles 90.00°, 90.00° and 90.00°. The distinct sites, in fractional coordinates, are Sn at (0.1854, 0.2500, 0.1250), Te at (0.0000, 0.0000, 0.5000) and Ru at (0.0000, 0.0000, 0.0000).

# 7
## Be2AlMo2Ru5 (PBE)

Data for a relaxed Be2AlMo2Ru5 crystal.

The density of states at the Fermi level comes out at 15.3 states/eV/cell. The formation energy is -0.229 eV/atom. The value obtained for the total energy is -8.152 eV per atom.

The structure belongs to space group P4/mbm (No. 127); the cell edges are 9.2949, 9.2949 and 3.0015 Å and the angles 90.00°, 90.00° and 90.00°. The distinct sites, in fractional coordinates, are Be at (0.1256, 0.3744, 0.0000), Al at (0.0000, 0.0000, 0.0000), Mo at (0.1750, 0.6750, 0.0000), Ru at (0.0000, 0.5000, 0.5000) and Ru at (0.0661, 0.2085, 0.5000).

# 8
## NiBiC (PBE)

Data for a relaxed NiBiC crystal.

The density of states at the Fermi level comes out at 1.2 states/eV/cell. The formation energy is 0.920 eV/atom. The value obtained for the total energy is -5.375 eV per atom. Its offset from the most stable computed form is 99 meV/atom.

The structure belongs to space group P1 (No. 1); the cell edges are 3.2432, 4.1390 and 4.2703 Å and the angles 85.17°, 67.88° and 89.67°. The distinct sites, in fractional coordinates, are Ni at (0.0000, 0.0000, 0.0000), Bi at (0.7311, 0.4134, 0.5346) and C at (0.5313, 0.8291, 0.9390).